Compound: TcHgPd2C
Source: Alexandria via LeMat-Bulk
Functional: GGA-PBE
Structure: relaxed

The space group is P4/mmm (No. 123) and the conventional cell measures 4.755, 4.755 and 5.317 Å, with angles of 90.00, 90.00 and 90.00 degrees. The asymmetric unit holds Tc at (0.000, 0.000, 0.000), Hg at (0.000, 0.000, 0.500), Pd at (0.000, 0.500, 0.000) and C at (0.500, 0.500, 0.500).

As for the formation energy: 2395 meV/atom. Its volume is 24.0 Å³/atom. For the total energy, the calculation gives -3.661 eV per atom. The total magnetic moment comes out at 1.55 μB/f.u.